[1]
Below is a relaxed YTlI2F crystal, with properties calculated at the PBE level.

Properties
The uncorrected formation energy is -1.580 eV per atom. The density of states at the Fermi level comes out at 0.470 states/eV per atom. As for the total energy: -0.319 Ry/atom.

Unit cell a=6.170 b=6.170 c=4.382 alpha=90.00 beta=90.00 gamma=90.00
Space group P4/mmm (No. 123)
Unique sites:
Y 0.000 0.000 0.000 (multiplicity 1)
Tl 0.500 0.500 0.500 (multiplicity 1)
I 0.000 0.500 0.000 (multiplicity 2)
F 0.000 0.000 0.500 (multiplicity 1)

[2]
Below is a relaxed TmI2F crystal, with properties calculated at the PBE level.

Properties
The uncorrected formation energy is -2.308 eV per atom. The density of states at the Fermi level comes out at 0.000 states/eV per atom. As for the total energy: -0.343 Ry/atom.

Unit cell a=4.292 b=4.298 c=16.164 alpha=90.00 beta=90.00 gamma=90.00
Space group Immm (No. 71)
Unique sites:
Tm 0.000 0.000 0.000 (multiplicity 2)
I 0.000 0.500 0.369 (multiplicity 4)
F 0.000 0.500 0.000 (multiplicity 2)

[3]
Below is a relaxed Tm2I2F crystal, with properties calculated at the PBE level.

Properties
The uncorrected formation energy is -1.100 eV per atom. The density of states at the Fermi level comes out at 0.496 states/eV per atom. As for the total energy: -0.285 Ry/atom.

Unit cell a=4.018 b=4.018 c=14.406 alpha=90.00 beta=90.00 gamma=90.00
Space group P4/mmm (No. 123)
Unique sites:
Tm 0.000 0.000 0.149 (multiplicity 2)
I 0.000 0.000 0.340 (multiplicity 2)
F 0.000 0.000 0.000 (multiplicity 1)

[4]
Below is a relaxed UI2F2 crystal, with properties calculated at the PBE level.

Properties
The uncorrected formation energy is -2.040 eV per atom. The density of states at the Fermi level comes out at 1.348 states/eV per atom. As for the total energy: -0.416 Ry/atom.

Unit cell a=13.853 b=6.168 c=6.620 alpha=90.00 beta=100.42 gamma=90.00
Space group C2/c (No. 15)
Unique sites:
U 0.000 0.180 0.250 (multiplicity 4)
I 0.131 0.422 0.630 (multiplicity 8)
F 0.081 0.065 0.983 (multiplicity 8)